{
  "formula": "ScSiRu",
  "functional": "GGA-PBEsol",
  "state": "optimized geometry",
  "raw_formation_energy_ev_per_atom": -0.948,
  "magmom_total_mub_per_fu": 0.00,
  "lattice_angstrom": [[3.324, 0.000, 0.000], [0.000, 6.850, 0.000], [0.000, -3.425, 5.932]],
  "species": ["Ru", "Ru", "Ru", "Si", "Si", "Si", "Sc", "Sc", "Sc"],
  "fractional_positions": [[0.500, 0.747, 0.000], [0.500, 0.253, 0.253], [0.500, 0.000, 0.747], [0.500, 0.333, 0.667], [0.500, 0.667, 0.333], [0.000, 0.000, 0.000], [0.000, 0.401, 0.000], [0.000, 0.000, 0.401], [0.000, 0.599, 0.599]]
}

=====

{
  "formula": "BaTaSnPb2",
  "functional": "GGA-PBEsol",
  "state": "optimized geometry",
  "magmom_total_mub_per_fu": 2.71,
  "e_form_mev_per_atom": 2052,
  "lattice_angstrom": [[5.834, 0.000, 0.000], [0.000, 5.900, 0.000], [0.000, 0.000, 5.900]],
  "species": ["Ba", "Ta", "Sn", "Pb", "Pb"],
  "fractional_positions": [[0.000, 0.000, 0.000], [0.500, 0.500, 0.500], [0.500, 0.000, 0.000], [0.000, 0.500, 0.000], [0.000, 0.000, 0.500]]
}

=====

{
  "formula": "SrLiCu2",
  "functional": "GGA-PBEsol",
  "state": "optimized geometry",
  "magmom_total_mub_per_fu": 0.00,
  "e_form_mev_per_atom": 138,
  "de_polymorph_ev_per_atom": 0.135,
  "lattice_angstrom": [[3.853, 0.000, 0.000], [0.000, 4.077, 0.000], [-1.926, -2.038, 5.418]],
  "species": ["Cu", "Cu", "Sr", "Li"],
  "fractional_positions": [[0.036, 0.036, 0.072], [0.661, 0.161, 0.322], [0.283, 0.783, 0.565], [0.520, 0.520, 0.040]]
}

=====

{
  "formula": "KCoPH2O5",
  "functional": "GGA-PBEsol",
  "state": "optimized geometry",
  "magmom_total_mub_per_fu": 3.00,
  "total_energy_ev_per_cell": -126.738,
  "lattice_angstrom": [[4.705, 0.000, 0.019], [0.000, 5.555, 0.000], [-0.034, 0.000, 8.214]],
  "species": ["O", "O", "O", "O", "O", "O", "O", "O", "O", "O", "Co", "Co", "P", "P", "H", "H", "H", "H", "K", "K"],
  "fractional_positions": [[0.201, 0.778, 0.878], [0.166, 0.500, 0.184], [0.275, 0.000, 0.608], [0.775, 0.500, 0.392], [0.701, 0.278, 0.122], [0.666, 0.000, 0.816], [0.701, 0.722, 0.122], [0.219, 0.000, 0.209], [0.719, 0.500, 0.791], [0.201, 0.222, 0.878], [0.912, 0.000, 0.018], [0.412, 0.500, 0.982], [0.344, 0.000, 0.789], [0.844, 0.500, 0.211], [0.841, 0.357, 0.812], [0.841, 0.643, 0.812], [0.341, 0.857, 0.188], [0.341, 0.143, 0.188], [0.283, 0.500, 0.547], [0.783, 0.000, 0.453]]
}

=====

{
  "formula": "Cs2LiAs",
  "functional": "GGA-PBEsol",
  "state": "optimized geometry",
  "magmom_total_mub_per_fu": 0.00,
  "e_form_mev_per_atom": 11,
  "lattice_angstrom": [[5.952, 0.000, 0.000], [2.976, 5.154, 0.000], [2.976, 1.718, 4.860]],
  "species": ["Li", "Cs", "Cs", "As"],
  "fractional_positions": [[0.000, 0.000, 0.000], [0.750, 0.750, 0.750], [0.250, 0.250, 0.250], [0.500, 0.500, 0.500]]
}

=====

{
  "formula": "Tc3SbP",
  "functional": "GGA-PBEsol",
  "state": "optimized geometry",
  "raw_formation_energy_ev_per_atom": 0.449,
  "magmom_total_mub_per_fu": 1.00,
  "lattice_angstrom": [[-0.563, -0.795, -4.249], [-3.721, -2.092, 0.884], [-2.200, 3.741, -0.408]],
  "species": ["Tc", "Tc", "Tc", "P", "Sb"],
  "fractional_positions": [[0.500, 0.000, 0.000], [0.000, 0.500, 0.000], [0.000, 0.000, 0.500], [0.000, 0.000, 0.000], [0.500, 0.500, 0.500]]
}

=====

{
  "formula": "Li4Ti3V2Sn3O16",
  "functional": "GGA-PBEsol",
  "state": "optimized geometry",
  "raw_formation_energy_ev_per_atom": -2.199,
  "magmom_total_mub_per_fu": 5.76,
  "lattice_angstrom": [[-3.736, -2.484, 4.044], [-0.354, -1.656, -5.854], [6.402, -6.888, 1.684]],
  "species": ["V", "V", "Sn", "Sn", "Sn", "O", "O", "O", "O", "O", "O", "O", "O", "O", "O", "O", "O", "O", "O", "O", "O", "Ti", "Ti", "Ti", "Li", "Li", "Li", "Li"],
  "fractional_positions": [[0.329, 0.658, 0.490], [0.661, 0.321, 0.982], [0.661, 0.829, 0.211], [0.168, 0.829, 0.211], [0.829, 0.659, 0.709], [0.165, 0.329, 0.608], [0.513, 0.470, 0.841], [0.957, 0.470, 0.841], [0.479, 0.957, 0.347], [0.844, 0.174, 0.103], [0.330, 0.174, 0.103], [0.839, 0.679, 0.089], [0.521, 0.043, 0.838], [0.039, 0.515, 0.342], [0.324, 0.647, 0.095], [0.671, 0.847, 0.600], [0.005, 0.010, 0.317], [0.657, 0.314, 0.600], [0.476, 0.515, 0.342], [0.004, 0.007, 0.811], [0.176, 0.847, 0.600], [0.338, 0.168, 0.716], [0.830, 0.168, 0.716], [0.168, 0.336, 0.219], [0.329, 0.657, 0.887], [0.008, 0.017, 0.501], [0.663, 0.326, 0.395], [0.014, 0.027, 0.994]]
}

=====

{
  "formula": "Hg3AsC",
  "functional": "GGA-PBEsol",
  "state": "optimized geometry",
  "magmom_total_mub_per_fu": 0.00,
  "e_form_mev_per_atom": 1083,
  "lattice_angstrom": [[-3.018, -2.543, -2.363], [-0.860, -2.487, 3.773], [-3.363, 2.918, 1.157]],
  "species": ["As", "Hg", "Hg", "Hg", "C"],
  "fractional_positions": [[0.500, 0.500, 0.500], [0.000, 0.000, 0.500], [0.000, 0.500, 0.000], [0.500, 0.000, 0.000], [0.000, 0.000, 0.000]]
}